# 1
Dy2Ga6CoNi, relaxed, DFT PBE-GGA; formation energy = -0.3275 eV/atom; DOS(E_F) = 6.6 states/eV per cell; space group = Fm-3m (225)
1.0
0.000 4.547 4.547
4.547 0.000 4.547
4.547 4.547 0.000
Dy Ga Co Ni
2 6 1 1
direct
0.250 0.250 0.250 Dy
0.750 0.750 0.750 Dy
0.250 0.250 0.750 Ga
0.250 0.750 0.250 Ga
0.250 0.750 0.750 Ga
0.750 0.250 0.250 Ga
0.750 0.250 0.750 Ga
0.750 0.750 0.250 Ga
0.000 0.000 0.000 Co
0.500 0.500 0.500 Ni

=====

# 2
DyGa4Co2Ni, relaxed, DFT PBE-GGA; formation energy = -0.3907 eV/atom; DOS(E_F) = 5.6 states/eV per cell; space group = R-3m (166)
1.0
2.034 1.174 8.519
-2.034 1.174 8.519
0.000 -2.348 8.519
Dy Ga Co Ni
1 4 2 1
direct
0.000 0.000 0.000 Dy
0.131 0.131 0.131 Ga
0.403 0.403 0.403 Ga
0.597 0.597 0.597 Ga
0.869 0.869 0.869 Ga
0.230 0.230 0.230 Co
0.770 0.770 0.770 Co
0.500 0.500 0.500 Ni

=====

# 3
Dy2Ga5Co2Ni, relaxed, DFT PBE-GGA; formation energy = -0.3812 eV/atom; DOS(E_F) = 16.8 states/eV per cell; space group = P4/mbm (127)
1.0
9.297 0.000 0.000
0.000 9.297 0.000
0.000 0.000 3.807
Dy Ga Co Ni
4 10 4 2
direct
0.183 0.317 0.000 Dy
0.317 0.817 0.000 Dy
0.683 0.183 0.000 Dy
0.817 0.683 0.000 Dy
0.000 0.500 0.500 Ga
0.056 0.800 0.500 Ga
0.200 0.056 0.500 Ga
0.300 0.556 0.500 Ga
0.444 0.300 0.500 Ga
0.500 0.000 0.500 Ga
0.556 0.700 0.500 Ga
0.700 0.444 0.500 Ga
0.800 0.944 0.500 Ga
0.944 0.200 0.500 Ga
0.113 0.613 0.000 Co
0.387 0.113 0.000 Co
0.613 0.887 0.000 Co
0.887 0.387 0.000 Co
0.000 0.000 0.000 Ni
0.500 0.500 0.000 Ni

=====

# 4
Dy2GaCo3Ni12, relaxed, DFT PBE-GGA; formation energy = 0.0116 eV/atom; DOS(E_F) = 25.6 states/eV per cell; space group = R-3m (166)
1.0
4.129 2.384 4.000
-4.129 2.384 4.000
0.000 -4.767 4.000
Dy Ga Co Ni
2 1 3 12
direct
0.226 0.226 0.226 Dy
0.774 0.774 0.774 Dy
0.500 0.500 0.500 Ga
0.000 0.500 0.500 Co
0.500 0.000 0.500 Co
0.500 0.500 0.000 Co
0.080 0.080 0.647 Ni
0.080 0.647 0.080 Ni
0.226 0.700 0.700 Ni
0.300 0.300 0.774 Ni
0.300 0.774 0.300 Ni
0.353 0.920 0.920 Ni
0.647 0.080 0.080 Ni
0.700 0.226 0.700 Ni
0.700 0.700 0.226 Ni
0.774 0.300 0.300 Ni
0.920 0.353 0.920 Ni
0.920 0.920 0.353 Ni

=====

# 5
DyGa2CoNi, relaxed, DFT PBE-GGA; formation energy = -0.4826 eV/atom; DOS(E_F) = 6.2 states/eV per cell; space group = I-4m2 (119)
1.0
3.997 0.000 0.000
0.000 3.997 0.000
0.000 0.000 10.192
Dy Ga Co Ni
2 4 2 2
direct
0.000 0.000 0.000 Dy
0.500 0.500 0.500 Dy
0.000 0.000 0.374 Ga
0.000 0.000 0.626 Ga
0.500 0.500 0.126 Ga
0.500 0.500 0.874 Ga
0.000 0.500 0.250 Co
0.500 0.000 0.750 Co
0.000 0.500 0.750 Ni
0.500 0.000 0.250 Ni

=====

# 6
DyGa4CoNi2, relaxed, DFT PBE-GGA; formation energy = -0.4454 eV/atom; DOS(E_F) = 5.4 states/eV per cell; space group = R-3m (166)
1.0
2.033 1.174 8.581
-2.033 1.174 8.581
0.000 -2.347 8.581
Dy Ga Co Ni
1 4 1 2
direct
0.000 0.000 0.000 Dy
0.133 0.133 0.133 Ga
0.403 0.403 0.403 Ga
0.597 0.597 0.597 Ga
0.867 0.867 0.867 Ga
0.500 0.500 0.500 Co
0.232 0.232 0.232 Ni
0.768 0.768 0.768 Ni